Record 1
Material: Ac4Te2RuBr
Method: DFT, PBE-GGA
State: relaxed

a = 4.4447 Å, b = 8.1189 Å, c = 8.2312 Å
α = 106.50°, β = 90.00°, γ = 90.00°
Last column: nearest neighbours and their distance in Å.
Positions (direct):
Ac: 0.5000 0.2753 0.2292  1 Ru 2.97, 2 Te 3.31
Ac: 0.5000 0.7247 0.7708  1 Ru 2.97, 2 Te 3.31
Ac: 0.0000 0.2890 0.7899  2 Ru 3.03, 1 Br 3.29, 1 Te 3.31
Ac: 0.0000 0.7110 0.2101  2 Ru 3.03, 1 Br 3.29, 1 Te 3.31
Te: 0.5000 0.0000 0.5000  6 Ac 3.58-3.60
Te: 0.0000 0.5000 0.5000  6 Ac 3.31
Ru: 0.5000 0.5000 0.0000  6 Ac 2.97-3.03
Br: 0.0000 0.0000 0.0000  6 Ac 3.29-3.33

Its uncorrected formation energy is -1087.6 meV per atom. The calculation puts the total moment at 0.000 μB per formula unit. The energy comes out at -5.30 eV per atom. The calculated density comes out at 7.84 g/cm3.


Record 2
Material: ZrAg
Method: DFT, PBE-GGA
State: relaxed

a = 4.0132 Å, b = 4.0132 Å, c = 4.0132 Å
α = 60.00°, β = 60.00°, γ = 60.00°
Last column: nearest neighbours and their distance in Å.
Positions (direct):
Ag: 0.0000 0.0000 0.0000  6 Zr 2.84
Zr: 0.5000 0.5000 0.5000  6 Ag 2.84

The calculation puts the total moment at 0.000 μB per formula unit. The formation enthalpy at 0 K comes out at 0.4828 eV per atom. The energy comes out at -5.22 eV per atom. The calculated density comes out at 7.23 g/cm3.


Record 3
Material: ErTcO4
Method: DFT, PBE-GGA
State: relaxed

a = 4.9313 Å, b = 5.7238 Å, c = 5.7915 Å
α = 110.42°, β = 90.00°, γ = 90.00°
Last column: nearest neighbours and their distance in Å.
Positions (direct):
Er: 0.0000 0.5000 0.5000  6 O 2.19-2.33
Er: 0.5000 0.0000 0.5000  6 O 2.19-2.33
Tc: 0.5000 0.5000 0.0000  6 O 1.94-2.02
Tc: 0.0000 0.0000 0.0000  6 O 1.94-2.02
O: 0.2850 0.8214 0.1209  2 Tc 2.00-2.02
O: 0.2150 0.3214 0.1209  2 Tc 2.00-2.02
O: 0.6576 0.6171 0.3266  1 Tc 1.94
O: 0.1576 0.8829 0.6734  1 Tc 1.94
O: 0.8424 0.1171 0.3266  1 Tc 1.94
O: 0.3424 0.3829 0.6734  1 Tc 1.94
O: 0.7850 0.6786 0.8791  2 Tc 2.00-2.02
O: 0.7150 0.1786 0.8791  2 Tc 2.00-2.02

Its uncorrected formation energy is -2253.1 meV per atom. The calculation puts the total moment at 1.726 μB per formula unit. The value obtained for the energy above the lowest structure with this stoichiometry is 31 kJ/mol of formula units. The energy comes out at -8.05 eV per atom. The calculated density comes out at 7.14 g/cm3.